InCuAu2: relaxed, PBE.

For the formation energy, the calculation gives -0.0331 eV/atom.

a = 4.648 Å, b = 4.648 Å, c = 4.648 Å
α = 60.00°, β = 60.00°, γ = 60.00°
Fractional coordinates of all 4 atoms:
Au 0.000 0.000 0.000
Au 0.750 0.750 0.750
Cu 0.500 0.500 0.500
In 0.250 0.250 0.250